A geometry-optimized VInP2O structure, computed with PBE with a Hubbard U.

Structure (POSCAR):
```
VInP2O
1.0
5.086 0.000 0.000
0.000 5.086 0.000
0.000 0.000 4.036
V In P O
1 1 2 1
Direct
0.000 0.000 0.000
0.500 0.500 0.500
0.000 0.500 0.500
0.500 0.000 0.500
0.500 0.500 0.000
```

Summary:
As for the electronic total energy: -0.1611 hartree per atom.